Hf27Si6P10 GGA-PBEsol relaxed; raw formation energy = -1018 meV per atom; E_tot = -9.7615 eV/atom; DOS at the Fermi energy = 22.1 states/eV/f.u.
1.0
3.547 0.000 0.000
1.774 14.743 0.097
1.774 2.964 14.443
Hf Si P
27 6 10
direct
0.608 0.522 0.262 Hf
0.392 0.478 0.738 Hf
0.608 0.262 0.522 Hf
0.392 0.738 0.478 Hf
0.817 0.313 0.052 Hf
0.183 0.687 0.948 Hf
0.817 0.052 0.313 Hf
0.183 0.948 0.687 Hf
0.930 0.318 0.823 Hf
0.070 0.682 0.177 Hf
0.930 0.823 0.318 Hf
0.070 0.177 0.682 Hf
0.783 0.533 0.900 Hf
0.217 0.467 0.100 Hf
0.783 0.900 0.533 Hf
0.217 0.100 0.467 Hf
0.578 0.824 0.020 Hf
0.422 0.176 0.980 Hf
0.578 0.020 0.824 Hf
0.422 0.980 0.176 Hf
0.283 0.217 0.217 Hf
0.717 0.783 0.783 Hf
0.146 0.354 0.354 Hf
0.854 0.646 0.646 Hf
0.000 0.417 0.583 Hf
0.000 0.583 0.417 Hf
0.000 0.000 0.000 Hf
0.658 0.611 0.073 Si
0.342 0.389 0.927 Si
0.658 0.073 0.611 Si
0.342 0.927 0.389 Si
0.876 0.124 0.124 Si
0.124 0.876 0.876 Si
0.714 0.361 0.212 P
0.286 0.639 0.788 P
0.714 0.212 0.361 P
0.286 0.788 0.639 P
0.559 0.441 0.441 P
0.441 0.559 0.559 P
0.500 0.689 0.311 P
0.500 0.311 0.689 P
0.000 0.140 0.860 P
0.000 0.860 0.140 P

***

NbPbICl2 GGA-PBEsol relaxed; raw formation energy = 861 meV per atom; E_tot = -3.2597 eV/atom; DOS at the Fermi energy = 7.7 states/eV/f.u.
1.0
5.202 0.000 0.000
0.000 5.671 0.000
0.000 0.000 5.671
Pb I Nb Cl
1 1 1 2
direct
0.500 0.500 0.500 Pb
0.000 0.000 0.000 I
0.500 0.000 0.000 Nb
0.000 0.000 0.500 Cl
0.000 0.500 0.000 Cl

***

Mg7Si8O24 GGA-PBEsol relaxed; raw formation energy = -2691 meV per atom; E_tot = -7.4088 eV/atom; DOS at the Fermi energy = 5.9 states/eV/f.u.
1.0
5.317 -0.103 0.000
1.841 9.437 0.000
0.921 4.719 9.018
Mg Si O
7 8 24
direct
0.500 0.738 0.524 Mg
0.500 0.262 0.476 Mg
0.000 0.821 0.359 Mg
0.000 0.179 0.641 Mg
0.000 0.000 0.000 Mg
0.500 0.906 0.189 Mg
0.500 0.094 0.811 Mg
0.246 0.633 0.170 Si
0.754 0.367 0.830 Si
0.754 0.198 0.170 Si
0.246 0.802 0.830 Si
0.246 0.464 0.658 Si
0.754 0.536 0.342 Si
0.754 0.878 0.658 Si
0.246 0.122 0.342 Si
0.504 0.484 0.729 O
0.496 0.516 0.271 O
0.496 0.787 0.729 O
0.504 0.213 0.271 O
0.298 0.663 0.000 O
0.702 0.337 0.000 O
0.666 0.912 0.000 O
0.334 0.088 0.000 O
0.001 0.540 0.235 O
0.999 0.460 0.765 O
0.999 0.225 0.235 O
0.001 0.775 0.765 O
0.221 0.628 0.506 O
0.779 0.372 0.494 O
0.779 0.866 0.506 O
0.221 0.134 0.494 O
0.196 0.800 0.177 O
0.804 0.200 0.823 O
0.804 0.022 0.177 O
0.196 0.978 0.823 O
0.297 0.298 0.645 O
0.703 0.702 0.355 O
0.703 0.057 0.645 O
0.297 0.943 0.355 O